# 1
PBE Nd2TmBi4, optimized geometry; ΔE_f = -0.6229 eV/atom; theoretical density = 8.99 Mg/m³; density of states at the Fermi level = 2.91 states/eV per cell; volume = 34.1 Å³ per atom
1.0
4.504 0.000 0.000
0.000 4.504 0.000
0.000 0.000 11.773
Nd Tm Bi
2 1 4
Direct
0.000 0.500 0.215 Nd
0.500 0.000 0.785 Nd
0.000 0.000 0.500 Tm
0.000 0.000 0.000 Bi
0.000 0.500 0.677 Bi
0.500 0.000 0.323 Bi
0.500 0.500 0.000 Bi

# 2
PBE Dy3ErIr, optimized geometry; ΔE_f = -0.3351 eV/atom; theoretical density = 9.23 Mg/m³; density of states at the Fermi level = 11.45 states/eV per cell; volume = 30.5 Å³ per atom; distance to the lowest polymorph of the same formula = 0 meV per atom
1.0
7.608 0.000 0.000
0.000 6.511 0.000
0.000 0.000 6.156
Dy Er Ir
6 2 2
Direct
0.000 0.153 0.000 Dy
0.250 0.312 0.503 Dy
0.250 0.688 0.003 Dy
0.500 0.847 0.500 Dy
0.750 0.312 0.503 Dy
0.750 0.688 0.003 Dy
0.000 0.846 0.507 Er
0.500 0.154 0.007 Er
0.000 0.502 0.254 Ir
0.500 0.498 0.754 Ir

# 3
PBE Sm2GdY, optimized geometry; ΔE_f = 0.1163 eV/atom; theoretical density = 6.79 Mg/m³; density of states at the Fermi level = 8.37 states/eV per cell; volume = 33.4 Å³ per atom; distance to the lowest polymorph of the same formula = 101 meV per atom
1.0
0.000 4.058 4.058
4.058 0.000 4.058
4.058 4.058 0.000
Sm Gd Y
2 1 1
Direct
0.250 0.250 0.250 Sm
0.750 0.750 0.750 Sm
0.000 0.000 0.000 Gd
0.500 0.500 0.500 Y

# 4
PBE TlH2F6, optimized geometry; electronic total energy = -3.677 eV/atom; theoretical density = 3.94 Mg/m³; volume = 15.0 Å³ per atom
1.0
5.533 -4.358 0.000
5.533 4.358 0.000
-2.246 0.000 5.593
Tl H F
2 4 12
Direct
0.102 0.898 0.750 Tl
0.898 0.102 0.250 Tl
0.277 0.495 0.857 H
0.495 0.277 0.357 H
0.505 0.723 0.643 H
0.723 0.505 0.143 H
0.033 0.187 0.636 F
0.132 0.594 0.805 F
0.187 0.033 0.136 F
0.384 0.431 0.415 F
0.406 0.868 0.695 F
0.431 0.384 0.915 F
0.569 0.616 0.085 F
0.594 0.132 0.305 F
0.616 0.569 0.585 F
0.813 0.967 0.864 F
0.868 0.406 0.195 F
0.967 0.813 0.364 F

# 5
PBE BaPmAs2O8, optimized geometry; formation energy from raw total energies = -23.68 eV per formula unit; theoretical density = 4.11 Mg/m³; density of states at the Fermi level = 9.65 states/eV per cell; volume = 18.9 Å³ per atom
1.0
5.760 0.000 0.000
-2.880 4.989 0.000
0.000 0.000 7.874
Ba Pm As O
1 1 2 8
Direct
0.000 0.000 0.000 Ba
0.000 0.000 0.500 Pm
0.333 0.667 0.769 As
0.667 0.333 0.231 As
0.170 0.341 0.701 O
0.170 0.830 0.701 O
0.333 0.667 0.988 O
0.341 0.170 0.299 O
0.659 0.830 0.701 O
0.667 0.333 0.012 O
0.830 0.170 0.299 O
0.830 0.659 0.299 O

What is the formula in the fourth record? TlH2F6